This record from Alexandria via LeMat-Bulk describes LaTi3Mn after structural relaxation. The functional is PBE.

Geometry as CIF:
```
data_LaTi3Mn
_space_group_name_H-M_alt 'P 1'
_space_group_IT_number 1
_space_group_name_Hall 'P 1'
_cell_length_a 4.6745
_cell_length_b 4.6745
_cell_length_c 4.6745
_cell_angle_alpha 90.00
_cell_angle_beta 90.00
_cell_angle_gamma 90.00
loop_
_atom_site_label
_atom_site_type_symbol
_atom_site_fract_x
_atom_site_fract_y
_atom_site_fract_z
La1 La 0.0000 0.0000 0.0000
Ti1 Ti 0.0000 0.5000 0.5000
Ti2 Ti 0.5000 0.0000 0.5000
Ti3 Ti 0.5000 0.5000 0.0000
Mn1 Mn 0.5000 0.5000 0.5000
```

Output
Relative energy among the computed polymorphs   0 meV per atom
DFT formation energy   0.9 eV per formula unit
V   20.4 Å³ per atom
Space-group type   No. 221